No. 1
A plane-wave DFT calculation with PBE-GGA was carried out for a geometry-optimized La2TlH structure.

Results
As for the energy: -16.897 eV per cell. For the density of states at the Fermi level, the calculation gives 2.8 states/eV/cell. Its space-group type is No. 166.

Unit cell a=3.784 b=3.784 c=8.545 alpha=77.21 beta=77.21 gamma=60.00
Element x y z (fractional)
La 0.727 0.727 0.820
La 0.273 0.273 0.180
Tl 0.500 0.500 0.500
H 0.000 0.000 0.000

No. 2
A plane-wave DFT calculation with PBE-GGA was carried out for a geometry-optimized LaTlH structure.

Results
As for the energy: -23.518 eV per cell. For the density of states at the Fermi level, the calculation gives 5.3 states/eV/cell. Its space-group type is No. 63.

Unit cell a=3.940 b=3.978 c=10.575 alpha=90.00 beta=90.00 gamma=119.68
Element x y z (fractional)
Tl 0.000 0.000 0.000
Tl 0.000 0.000 0.500
H 0.341 0.683 0.250
H 0.659 0.317 0.750
La 0.327 0.654 0.750
La 0.673 0.346 0.250

No. 3
A plane-wave DFT calculation with PBE-GGA was carried out for a geometry-optimized La2TlH structure.

Results
As for the energy: -16.211 eV per cell. For the density of states at the Fermi level, the calculation gives 4.4 states/eV/cell. Its space-group type is No. 123.

Unit cell a=3.533 b=3.533 c=7.773 alpha=90.00 beta=90.00 gamma=90.00
Element x y z (fractional)
La 0.000 0.000 0.207
La 0.000 0.000 0.793
Tl 0.500 0.500 0.500
H 0.500 0.500 0.000

No. 4
A plane-wave DFT calculation with PBE-GGA was carried out for a geometry-optimized LaTl3H structure.

Results
As for the energy: -15.573 eV per cell. For the density of states at the Fermi level, the calculation gives 3.5 states/eV/cell. Its space-group type is No. 221.

Unit cell a=4.946 b=4.946 c=4.946 alpha=90.00 beta=90.00 gamma=90.00
Element x y z (fractional)
Tl 0.000 0.500 0.000
Tl 0.000 0.000 0.500
Tl 0.500 0.000 0.000
H 0.000 0.000 0.000
La 0.500 0.500 0.500

No. 5
A plane-wave DFT calculation with PBE-GGA was carried out for a geometry-optimized La4Tl2H structure.

Results
As for the energy: -60.593 eV per cell. For the density of states at the Fermi level, the calculation gives 12.8 states/eV/cell. Its space-group type is No. 11.

Unit cell a=6.552 b=6.982 c=9.836 alpha=90.00 beta=111.29 gamma=90.00
Element x y z (fractional)
La 0.460 0.508 0.717
La 0.886 0.250 0.060
La 0.460 0.992 0.717
La 0.073 0.750 0.361
La 0.114 0.750 0.940
La 0.927 0.250 0.639
La 0.540 0.492 0.283
La 0.540 0.008 0.283
H 0.721 0.250 0.797
H 0.279 0.750 0.203
Tl 0.185 0.250 0.406
Tl 0.321 0.250 0.963
Tl 0.815 0.750 0.594
Tl 0.679 0.750 0.037

No. 6
A plane-wave DFT calculation with PBE-GGA was carried out for a geometry-optimized La2TlH structure.

Results
As for the energy: -34.001 eV per cell. For the density of states at the Fermi level, the calculation gives 5.3 states/eV/cell. Its space-group type is No. 122.

Unit cell a=7.341 b=7.341 c=6.508 alpha=55.67 beta=55.67 gamma=90.00
Element x y z (fractional)
Tl 0.000 0.000 0.000
Tl 0.750 0.250 0.500
H 0.500 0.500 0.000
H 0.250 0.750 0.500
La 0.215 0.625 0.250
La 0.375 0.465 0.750
La 0.875 0.785 0.750
La 0.535 0.125 0.250

| no. | ρ (g/cm³) | total magnetization (μB/atom) |
| --- | --- | --- |
| 1 | 7.83 | 0.00 |
| 2 | 7.94 | 0.00 |
| 3 | 8.27 | 0.02 |
| 4 | 10.34 | 0.00 |
| 5 | 7.65 | 0.00 |
| 6 | 7.59 | 0.00 |